# 1
Here is a relaxed Cs3CdAg2Cl8 crystal from Alexandria via LeMat-Bulk. Energies are from GGA-PBE.

abc: 7.4590 7.4590 9.9889
angles: 90.00 90.00 120.00
With the nearest neighbours (Å) after each atom.
Space group P-3m1 (No. 164)
Unique sites:
Cs (0.0000, 0.0000, 0.0000)  12 Cl 3.97-4.32
Cs (0.3333, 0.6667, 0.6294)  10 Cl 3.35-3.74
Cd (0.0000, 0.0000, 0.5000)  6 Cl 2.64
Ag (0.3333, 0.6667, 0.2048)  4 Cl 2.40-2.58
Cl (0.1617, 0.3234, 0.3377)  1 Ag 2.58, 1 Cd 2.64
Cl (0.3333, 0.6667, 0.9644)  1 Ag 2.40

Values from the calculation:
**Calculated total energy**: -2.91 eV per atom

=====

# 2
Here is a relaxed PmTa2MnC4 crystal from Alexandria via LeMat-Bulk. Energies are from GGA-PBE.

abc: 3.2466 11.1629 10.8956
angles: 90.00 90.00 90.00
With the nearest neighbours (Å) after each atom.
Space group Cmcm (No. 63)
Unique sites:
Pm (0.0000, 0.0973, 0.2500)  6 C 2.58-2.69
Ta (0.0000, 0.3701, 0.0434)  6 C 2.10-2.34
Mn (0.0000, 0.1684, 0.7500)  4 C 1.81-1.89
C (0.0000, 0.0000, 0.0000)  4 Ta 2.23
C (0.0000, 0.2634, 0.6149)  1 Mn 1.81
C (0.0000, 0.4179, 0.2500)  2 Mn 1.89

Values from the calculation:
**Energy of formation**: -0.342 eV per atom

=====

# 3
Here is a relaxed Cr2InP crystal from Alexandria via LeMat-Bulk. Energies are from GGA-PBE.

abc: 6.0630 6.0630 6.0630
angles: 90.00 90.00 90.00
With the nearest neighbours (Å) after each atom.
Space group Fm-3m (No. 225)
Unique sites:
Cr (0.2500, 0.2500, 0.2500)  4 In 2.63, 4 P 2.63
In (0.0000, 0.0000, 0.0000)  8 Cr 2.63
P (0.0000, 0.0000, 0.5000)  8 Cr 2.63

Values from the calculation:
**Energy of formation**: 0.533 eV per atom

=====

# 4
Here is a relaxed RbHoTeSe crystal from Alexandria via LeMat-Bulk. Energies are from GGA-PBE.

abc: 4.3371 4.3371 25.3040
angles: 90.00 90.00 120.00
With the nearest neighbours (Å) after each atom.
Space group R3m (No. 160, hexagonal axes)
Unique sites:
Rb (0.0000, 0.0000, 0.0000)  3 Se 3.57, 3 Te 3.60
Ho (0.0000, 0.0000, 0.1599)  3 Se 2.92, 3 Te 3.08
Te (0.0000, 0.0000, 0.5642)  3 Ho 3.08
Se (0.0000, 0.0000, 0.7674)  3 Ho 2.92

Values from the calculation:
**Calculated total energy**: -4.56 eV per atom

=====

# 5
Here is a relaxed K3RbSb crystal from Alexandria via LeMat-Bulk. Energies are from GGA-PBE.

abc: 14.0002 16.9085 9.6454
angles: 90.00 97.42 90.00
With the nearest neighbours (Å) after each atom.
Space group C2/c (No. 15)
Unique sites:
K (0.1156, 0.2260, 0.1103)  2 Sb 3.59-3.62
K (0.1662, 0.1878, 0.5891)  2 Sb 3.72-3.79, 1 K 3.73
K (0.1716, 0.4651, 0.0904)  3 Sb 3.64-3.87, 2 Rb 3.82-3.98
Rb (0.0000, 0.0009, 0.7500)  6 K 4.33-4.69, 2 Rb 4.82
Rb (0.0000, 0.3967, 0.7500)  4 K 3.82-3.98, 4 Sb 3.89-4.27
Sb (0.0747, 0.3675, 0.3784)  1 Sb 3.03

Values from the calculation:
**Calculated total energy**: -1.88 eV per atom

=====

# 6
Here is a relaxed K3Sc3PaSe8 crystal from Alexandria via LeMat-Bulk. Energies are from GGA-PBE.

abc: 8.0293 8.0293 23.2738
angles: 90.00 90.00 120.00
With the nearest neighbours (Å) after each atom.
Space group R-3m (No. 166, hexagonal axes)
Unique sites:
K (0.0000, 0.5000, 0.0000)  6 Se 3.32
Sc (0.0000, 0.5000, 0.5000)  6 Se 2.75-2.76
Pa (0.0000, 0.0000, 0.5000)  6 Se 2.85
Se (0.0000, 0.0000, 0.2313)  3 Sc 2.76
Se (0.0110, 0.5055, 0.7673)  2 Sc 2.75, 1 Pa 2.85

Values from the calculation:
**Calculated total energy**: -5.56 eV per atom

=====

# 7
Here is a relaxed Ac2H2SeS crystal from Alexandria via LeMat-Bulk. Energies are from GGA-PBE.

abc: 4.2642 4.2642 8.0318
angles: 90.00 90.00 120.00
With the nearest neighbours (Å) after each atom.
Space group P-3m1 (No. 164)
Unique sites:
Ac (0.3333, 0.6667, 0.2593)  3 H 2.46
H (0.3333, 0.6667, 0.7404)  3 Ac 2.46
Se (0.0000, 0.0000, 0.0000)  6 Ac 3.22, 6 H 3.23
S (0.0000, 0.0000, 0.5000)  6 H 3.13, 6 Ac 3.13

Values from the calculation:
**Calculated total energy**: -5.31 eV per atom

=====

# 8
Here is a relaxed Rb2SrPtCl6 crystal from Alexandria via LeMat-Bulk. Energies are from GGA-PBE.

abc: 10.7633 10.7633 10.7633
angles: 90.00 90.00 90.00
With the nearest neighbours (Å) after each atom.
Space group Fm-3m (No. 225)
Unique sites:
Rb (0.2500, 0.2500, 0.2500)  12 Cl 3.81
Sr (0.0000, 0.0000, 0.0000)  6 Cl 2.84
Pt (0.0000, 0.0000, 0.5000)  6 Cl 2.54
Cl (0.0000, 0.0000, 0.2637)  1 Pt 2.54, 1 Sr 2.84

Values from the calculation:
**Calculated total energy**: -3.57 eV per atom

=====

What is the formula in the first record? Cs3CdAg2Cl8

=====

Which formula does entry 1 have? Cs3CdAg2Cl8